[1]
Density functional theory data (PBE) for a relaxed BaPBr crystal.

DOS(E_F) in states/eV per atom: 0.044
Formation energy from raw total energies in eV per atom: -0.81
Space-group type: I4mm

Cell: 6.3642 6.3646 4.5071 Å, 69.26 69.27 41.47°
Atoms (fractional coordinates):
Ba: 0.0337 0.0337 0.9663
Br: 0.3736 0.3736 0.6264
P: 0.5927 0.5927 0.4073


[2]
Density functional theory data (PBE) for a relaxed Ti2VRh4 crystal.

Energy of formation from the pure elements in eV/atom: 0.25
DOS(E_F) in states/eV per atom: 0.950
Space-group type: I4/mmm

Cell: 4.4797 4.4797 6.9549 Å, 71.21 71.21 90.00°
Atoms (fractional coordinates):
Ti: 0.3713 0.3713 0.2574
Ti: 0.6287 0.6287 0.7426
Rh: 0.1959 0.1959 0.6082
Rh: 0.8041 0.8041 0.3918
Rh: 0.0000 0.5000 0.0000
Rh: 0.5000 0.0000 0.0000
V: 0.0000 0.0000 0.0000


[3]
Density functional theory data (PBE) for a relaxed PmThBi crystal.

Energy of formation from the pure elements in eV/atom: -0.12
DOS(E_F) in states/eV per atom: 1.477
Space-group type: P3m1

Cell: 3.6357 5.5705 5.5705 Å, 120.00 90.00 90.00°
Atoms (fractional coordinates):
Bi: 0.0067 0.0000 0.0000
Th: 0.7331 0.3333 0.6667
Pm: 0.2602 0.6667 0.3333


Question: What is the DOS(E_F) in the third record?
Answer: 1.477 states/eV per atom